{"formula": "K3CdAg3", "functional": "PBE", "state": "optimized geometry", "cell": [[-3.019, -3.535, 1.629], [1.749, -2.107, 6.119], [-10.599, 8.852, 7.014]], "species": ["K", "K", "K", "K", "K", "K", "Cd", "Cd", "Ag", "Ag", "Ag", "Ag", "Ag", "Ag"], "frac_coords": [[0.520, 0.337, 0.623], [0.480, 0.663, 0.377], [0.247, 0.274, 0.233], [0.753, 0.726, 0.767], [0.393, 0.291, 0.924], [0.607, 0.709, 0.076], [0.755, 0.078, 0.412], [0.245, 0.922, 0.588], [0.877, 0.710, 0.536], [0.123, 0.290, 0.464], [0.098, 0.885, 0.920], [0.902, 0.115, 0.080], [0.941, 0.879, 0.239], [0.059, 0.121, 0.761]], "crystal_system": "monoclinic", "dft_energy_ev_per_cell": -25.58}